Below is MgAgHg2 after structural relaxation, with properties calculated at the PBE-GGA level.

Calculated values
Total DFT energy (no corrections) (eV for the cell shown): -10.7
DOS(E_F) (states/eV/f.u.): 0.88

```
data_MgAgHg2
_space_group_name_H-M_alt 'C 1 2/m 1'
_space_group_IT_number 12
_space_group_name_Hall '-C 2y'
_cell_length_a 9.7605
_cell_length_b 3.3069
_cell_length_c 5.3874
_cell_angle_alpha 90.00
_cell_angle_beta 102.83
_cell_angle_gamma 90.00
loop_
_atom_site_label
_atom_site_fract_x
_atom_site_fract_y
_atom_site_fract_z
_atom_site_occupancy
Mg1 0.0000 0.0000 0.0000 1
Ag1 0.0000 0.5000 0.5000 1
Hg1 0.2476 0.5000 0.2509 1
```


Below is MgAg5Hg after structural relaxation, with properties calculated at the PBE-GGA level.

Calculated values
DOS(E_F) (states/eV/f.u.): 2.04
Energy above the most stable polymorph in this dataset (meV per atom): 31

```
data_MgAg5Hg
_space_group_name_H-M_alt 'C 1 2/c 1'
_space_group_IT_number 15
_space_group_name_Hall '-C 2yc'
_cell_length_a 10.0045
_cell_length_b 5.4800
_cell_length_c 10.1790
_cell_angle_alpha 90.00
_cell_angle_beta 98.69
_cell_angle_gamma 90.00
loop_
_atom_site_label
_atom_site_fract_x
_atom_site_fract_y
_atom_site_fract_z
_atom_site_occupancy
Mg1 0.0000 0.2436 0.2500 1
Ag1 0.0000 0.2389 0.7500 1
Ag2 0.1462 0.0040 0.0392 1
Ag3 0.2369 0.4962 0.6933 1
Hg1 0.0000 0.5000 0.0000 1
```


Below is MgAg4Hg after structural relaxation, with properties calculated at the PBE-GGA level.

Calculated values
DOS(E_F) (states/eV/f.u.): 1.39
Energy above the most stable polymorph in this dataset (meV per atom): 49

```
data_MgAg4Hg
_space_group_name_H-M_alt 'C 1 2/m 1'
_space_group_IT_number 12
_space_group_name_Hall '-C 2y'
_cell_length_a 5.7752
_cell_length_b 8.1320
_cell_length_c 5.6498
_cell_angle_alpha 90.00
_cell_angle_beta 118.62
_cell_angle_gamma 90.00
loop_
_atom_site_label
_atom_site_fract_x
_atom_site_fract_y
_atom_site_fract_z
_atom_site_occupancy
Mg1 0.0000 0.0000 0.0000 1
Ag1 0.2492 0.1845 0.7555 1
Hg1 0.0000 0.5000 0.5000 1
```


Below is Mg2AgHg after structural relaxation, with properties calculated at the PBE-GGA level.

Calculated values
Total DFT energy (no corrections) (eV for the cell shown): -19.4
DOS(E_F) (states/eV/f.u.): 1.63

```
data_Mg2AgHg
_space_group_name_H-M_alt 'R 3 m'
_space_group_IT_number 160
_space_group_name_Hall 'R 3 -2"'
_cell_length_a 4.1656
_cell_length_b 4.1656
_cell_length_c 18.5620
_cell_angle_alpha 90.00
_cell_angle_beta 90.00
_cell_angle_gamma 120.00
loop_
_atom_site_label
_atom_site_fract_x
_atom_site_fract_y
_atom_site_fract_z
_atom_site_occupancy
Mg1 0.0000 0.0000 0.0000 1
Mg2 0.0000 0.0000 0.1829 1
Ag1 0.0000 0.0000 0.5919 1
Hg1 0.0000 0.0000 0.7598 1
```